# 1
## Ti7Ga2Rh2 (PBE)

Data for a relaxed structure of Ti7Ga2Rh2.

Structure (extended XYZ):
```
11
Lattice="5.818 -0.002 -0.616 0.003 6.074 0.003 -0.977 -0.002 5.769" Properties=species:S:1:pos:R:3 pbc="T T T"
Ti 2.421 1.627 2.577
Ti 2.910 1.652 -0.307
Ti 0.000 0.000 0.000
Ti 2.911 4.420 -0.306
Ti -0.488 1.652 2.885
Ti -0.487 4.420 2.886
Ti 2.422 4.443 2.578
Rh 0.930 -0.002 3.977
Rh 3.914 6.072 1.179
Ga 0.844 3.036 0.898
Ga 4.000 3.033 4.257
```

Summary:
**E_form**: -0.067 eV/atom
**N(E_F)**: 14.00 states/eV/f.u.
**Total moment**: 0.0 μB per formula unit

---

# 2
## Ti3GaRh6 (PBE)

Data for a relaxed structure of Ti3GaRh6.

Structure (extended XYZ):
```
20
Lattice="-1.505 -3.765 1.739 6.962 -2.037 1.613 -3.918 4.892 7.203" Properties=species:S:1:pos:R:3 pbc="T T T"
Ti 0.251 -3.176 1.734
Ti -0.921 2.199 6.764
Ti -0.240 -0.756 6.551
Ti 1.780 -0.154 4.004
Ti 1.288 2.266 8.820
Ti 2.461 -3.110 3.791
Rh 4.802 -4.056 3.768
Rh -0.108 -1.900 4.188
Rh 4.307 -1.194 3.940
Rh 2.479 -1.472 1.757
Rh -3.262 3.145 6.787
Rh -2.768 0.284 6.615
Rh 0.001 -0.399 1.936
Rh 1.538 -0.511 8.619
Rh 2.110 -1.907 6.091
Rh -0.939 0.561 8.798
Rh 1.647 0.990 6.367
Rh -0.571 0.997 4.464
Ga 3.976 -0.022 6.190
Ga -2.437 -0.888 4.364
```

Summary:
**E_form**: -0.731 eV/atom
**N(E_F)**: 7.07 states/eV/f.u.
**Total moment**: 0.0 μB per formula unit

---

# 3
## Ti4GaRh5 (PBE)

Data for a relaxed structure of Ti4GaRh5.

Structure (extended XYZ):
```
10
Lattice="-2.948 0.397 -1.077 -0.357 -3.138 -0.178 -5.111 -0.208 13.915" Properties=species:S:1:pos:R:3 pbc="T T T"
Rh -2.156 -1.391 0.744
Rh -4.208 -1.475 6.330
Rh -3.174 -1.433 3.514
Rh -5.242 -1.517 9.146
Rh -6.260 -1.558 11.915
Ga 0.000 0.000 0.000
Ti -4.108 -0.167 11.186
Ti -2.044 -0.083 5.565
Ti -1.002 -0.041 2.729
Ti -3.067 -0.125 8.350
```

Summary:
**E_form**: -0.753 eV/atom
**N(E_F)**: 9.43 states/eV/f.u.
**Total moment**: 0.0 μB per formula unit

---

# 4
## TiGa3Rh (PBE)

Data for a relaxed structure of TiGa3Rh.

Structure (extended XYZ):
```
5
Lattice="4.659 0.000 0.000 0.000 4.659 0.000 0.000 0.000 4.659" Properties=species:S:1:pos:R:3 pbc="T T T"
Ga 0.000 2.330 0.000
Ga 2.330 0.000 0.000
Ga 0.000 0.000 2.330
Ti 2.330 2.330 2.330
Rh 0.000 0.000 0.000
```

Summary:
**E_form**: 0.200 eV/atom
**N(E_F)**: 6.11 states/eV/f.u.
**E above lowest polymorph**: 698 meV per atom
**Total moment**: 0.0 μB per formula unit